VASP calculation (meta-GGA SCAN) on a crystal of Al2OsRu relaxed with PBEsol.

The calculation puts the formation energy at 279 meV/atom. The symmetry is I-42d, No. 122. The density of states at the Fermi level comes out at 7.2 states/eV/cell. The calculation puts the total magnetization at 0.414 μB per atom. The value obtained for the final energy is -242.19 eV/cell.

abc: 5.4161 5.4161 5.4161
angles: 105.09 105.09 118.64
With the nearest neighbours (Å) after each atom.
Fractional positions:
Al: 0.6250 0.1285 0.0035  2 Ru 2.41, 2 Os 2.45
Al: 0.8715 0.8750 0.4965  2 Ru 2.41, 2 Os 2.45
Al: 0.1250 0.6215 0.9965  2 Ru 2.41, 2 Os 2.45
Al: 0.3785 0.3750 0.5035  2 Ru 2.41, 2 Os 2.45
Ru: 0.7500 0.2500 0.5000  4 Al 2.41
Ru: 0.5000 0.5000 0.0000  4 Al 2.41
Os: 0.2500 0.7500 0.5000  4 Al 2.45
Os: 0.0000 0.0000 0.0000  4 Al 2.45